First-principles (GGA-PBE) data for an optimized crystal structure of LaSm2YEr5, as listed in Alexandria.

Summary:
As for the energy of formation: 2.37 eV per formula unit. The symmetry is I4/mcm (140).

Cell: 8.775 8.775 9.836 Å, 116.49 116.49 90.00°
Sites, in units of the cell vectors:
1 La 0.250 0.250 0.500
2 La 0.750 0.750 0.500
3 Sm 0.116 0.384 0.000
4 Sm 0.616 0.116 0.000
5 Sm 0.384 0.884 0.000
6 Sm 0.884 0.616 0.000
7 Y 0.250 0.750 0.500
8 Y 0.750 0.250 0.500
9 Er 0.926 0.426 0.269
10 Er 0.657 0.157 0.731
11 Er 0.074 0.574 0.731
12 Er 0.157 0.074 0.731
13 Er 0.574 0.657 0.731
14 Er 0.843 0.926 0.269
15 Er 0.426 0.343 0.269
16 Er 0.343 0.843 0.269
17 Er 0.500 0.500 0.000
18 Er 0.000 0.000 0.000

First-principles (GGA-PBE) data for an optimized crystal structure of LiLaTe2, as listed in Alexandria.

Summary:
Its raw formation energy is -1.197 eV/atom. The symmetry is Pnma (62).

Cell: 8.796 5.015 14.975 Å, 90.00 90.00 90.00°
Sites, in units of the cell vectors:
1 Te 0.796 0.250 0.497
2 Te 0.704 0.750 0.997
3 Te 0.204 0.750 0.503
4 Te 0.296 0.250 0.003
5 Te 0.432 0.250 0.702
6 Te 0.068 0.750 0.202
7 Te 0.568 0.750 0.298
8 Te 0.932 0.250 0.798
9 Li 0.551 0.250 0.377
10 Li 0.949 0.750 0.877
11 Li 0.449 0.750 0.623
12 Li 0.051 0.250 0.123
13 La 0.104 0.250 0.616
14 La 0.396 0.750 0.116
15 La 0.896 0.750 0.384
16 La 0.604 0.250 0.884

First-principles (GGA-PBE) data for an optimized crystal structure of La5CoHg2H, as listed in Alexandria.

Summary:
The symmetry is Cmc2_1 (36). The calculation puts the final energy at -0.314 Ry per atom.

Cell: 4.965 8.761 11.882 Å, 90.00 90.00 106.46°
Sites, in units of the cell vectors:
1 La 0.364 0.729 0.007
2 La 0.697 0.394 0.866
3 La 0.499 0.998 0.757
4 La 0.300 0.600 0.647
5 La 0.948 0.895 0.508
6 La 0.636 0.271 0.507
7 La 0.303 0.606 0.366
8 La 0.501 0.002 0.257
9 La 0.700 0.400 0.147
10 La 0.052 0.105 0.008
11 Co 0.558 0.116 0.009
12 Co 0.442 0.884 0.509
13 Hg 0.881 0.763 0.811
14 Hg 0.116 0.233 0.706
15 Hg 0.119 0.237 0.311
16 Hg 0.884 0.767 0.206
17 H 0.789 0.578 0.513
18 H 0.211 0.422 0.013